Material: Er5Tm12Sc2
Method: DFT, PBE
State: optimized geometry

As for the formation energy: 0.12 eV/atom. The calculation puts the density of states at the Fermi level at 1.6332 states/eV/atom.

It has space group C2/m (No. 12), with a = 15.361 Å, b = 9.000 Å, c = 8.333 Å, α = 90.00°, β = 91.24° and γ = 90.00°. The asymmetric unit holds Er at (0.000, 0.000, 0.000), Er at (0.199, 0.500, 0.512), Er at (0.233, 0.000, 0.072), Tm at (0.057, 0.500, 0.834), Tm at (0.086, 0.000, 0.385), Tm at (0.127, 0.306, 0.170), Tm at (0.152, 0.183, 0.741) and Sc at (0.000, 0.328, 0.500).

---

Material: TmSb2Au
Method: DFT, PBE
State: optimized geometry

The uncorrected formation energy comes out at -0.50 eV per atom. The calculation puts the density of states at the Fermi level at 0.4027 states/eV/atom.

It has space group P4/mmm (No. 123), with a = 4.759 Å, b = 4.759 Å, c = 4.174 Å, α = 90.00°, β = 90.00° and γ = 90.00°. The asymmetric unit holds Tm at (0.000, 0.000, 0.000), Sb at (0.000, 0.500, 0.500) and Au at (0.500, 0.500, 0.000).

---

Material: GdYBeIr
Method: DFT, PBE
State: optimized geometry

As for the formation energy: -0.37 eV/atom. The calculation puts the density of states at the Fermi level at 0.6485 states/eV/atom.

It has space group F-43m (No. 216), with a = 6.897 Å, b = 6.897 Å, c = 6.897 Å, α = 90.00°, β = 90.00° and γ = 90.00°. The asymmetric unit holds Gd at (0.000, 0.000, 0.000), Y at (0.000, 0.000, 0.500), Be at (0.250, 0.250, 0.250) and Ir at (0.250, 0.250, 0.750).

---

Material: YTm4Sc15
Method: DFT, PBE
State: optimized geometry

As for the formation energy: 0.06 eV/atom. The calculation puts the density of states at the Fermi level at 1.9719 states/eV/atom.

It has space group P4/mmm (No. 123), with a = 4.702 Å, b = 4.702 Å, c = 23.571 Å, α = 90.00°, β = 90.00° and γ = 90.00°. The asymmetric unit holds Y at (0.000, 0.000, 0.000), Tm at (0.000, 0.000, 0.201), Tm at (0.000, 0.000, 0.400), Sc at (0.000, 0.500, 0.101), Sc at (0.000, 0.500, 0.301), Sc at (0.000, 0.500, 0.500), Sc at (0.500, 0.500, 0.000), Sc at (0.500, 0.500, 0.201) and Sc at (0.500, 0.500, 0.400).

---

Material: Rb3Np3Te8Au
Method: DFT, PBE
State: optimized geometry

The uncorrected formation energy comes out at -0.68 eV per atom. The calculation puts the density of states at the Fermi level at 1.7227 states/eV/atom.

It has space group C2/m (No. 12), with a = 14.996 Å, b = 9.222 Å, c = 9.813 Å, α = 90.00°, β = 118.57° and γ = 90.00°. The asymmetric unit holds Rb at (0.000, 0.000, 0.000), Rb at (0.250, 0.250, 0.000), Np at (0.000, 0.500, 0.500), Np at (0.250, 0.250, 0.500), Te at (0.023, 0.273, 0.295), Te at (0.206, 0.000, 0.676), Te at (0.234, 0.500, 0.702) and Au at (0.000, 0.000, 0.500).

---

Material: KHg3
Method: DFT, PBE
State: optimized geometry

As for the formation energy: -0.13 eV/atom. The calculation puts the density of states at the Fermi level at 0.3799 states/eV/atom.

It has space group R-3m (No. 166, hexagonal axes), with a = 11.3061 Å, b = 11.3061 Å, c = 3.3343 Å, α = 90.00°, β = 90.00° and γ = 120.00°. The asymmetric unit holds K at (0.0000, 0.0000, 0.0000) and Hg at (0.0000, 0.5000, 0.0000).